Tb2PmInC: optimized geometry, PBE.

Properties
**Spin magnetization**: 0.00 μB per formula unit
**Formation energy from the elements**: -0.4343 eV per atom
**SG**: P4/mmm

POSCAR file:
```
Tb2PmInC
1.0
4.960 0.000 0.000
0.000 4.960 0.000
0.000 0.000 5.082
Tb Pm In C
2 1 1 1
Cartesian
0.000 2.480 0.000
2.480 0.000 0.000
0.000 0.000 2.541
2.480 2.480 2.541
0.000 0.000 0.000
```